DFT (PBE) results for a relaxed CeDyZnBi crystal.

Cell lengths 5.337, 5.337, 5.337 Å; angles 60.00, 60.00, 60.00 degrees
Each line ends with the local moment (μB).
Fractional positions:
Zn: 0.000 0.000 0.000  0.01
Bi: 0.500 0.500 0.500  0.01
Ce: 0.250 0.250 0.250  0.90
Dy: 0.750 0.750 0.750  0.19

Results
Energy of formation, eV per atom: -0.37
Density of states at the Fermi level, states/eV/f.u.: 9.0
SG: F-43m, No. 216